[1]
This record from the Alexandria database describes PmTh2Ti after structural relaxation. The functional is PBE.

Calculated values
symmetry: R-3m, No. 166
ΔH_f (0 K): 0.45 eV/atom

a = 12.2090 Å, b = 12.2090 Å, c = 12.2090 Å
α = 15.76°, β = 15.76°, γ = 15.76°
Closest atoms and distances in Å follow each position.
Fractional coordinates of all 4 atoms:
1 Pm 0.0000 0.0000 0.0000  6 Pm 3.35, 6 Th 3.71
2 Th 0.4209 0.4209 0.4209  1 Ti 2.86
3 Th 0.5791 0.5791 0.5791  1 Ti 2.86
4 Ti 0.5000 0.5000 0.5000  2 Th 2.86

***

[2]
This record from the Alexandria database describes K2TaMn after structural relaxation. The functional is PBE.

Calculated values
symmetry: I-4m2, No. 119
ΔH_f (0 K): 1.52 eV/atom

a = 5.4125 Å, b = 5.4125 Å, c = 5.4125 Å
α = 119.92°, β = 119.92°, γ = 90.13°
Closest atoms and distances in Å follow each position.
Fractional coordinates of all 4 atoms:
1 K 0.0000 0.0000 0.0000  4 Mn 3.32, 4 K 3.32
2 K 0.7500 0.2500 0.5000  4 Ta 3.32, 4 K 3.32
3 Ta 0.5000 0.5000 0.0000  4 Mn 3.32, 4 K 3.32
4 Mn 0.2500 0.7500 0.5000  4 Ta 3.32, 4 K 3.32

***

[3]
This record from the Alexandria database describes CsBiTeBr2 after structural relaxation. The functional is PBE.

Calculated values
ΔE_f (raw): -825 meV/atom
symmetry: P4/mmm, No. 123

a = 5.9367 Å, b = 5.9367 Å, c = 5.9881 Å
α = 90.00°, β = 90.00°, γ = 90.00°
Closest atoms and distances in Å follow each position.
Fractional coordinates of all 5 atoms:
1 Cs 0.0000 0.0000 0.0000  4 Te 4.20, 8 Br 4.22
2 Bi 0.5000 0.5000 0.5000  4 Br 2.97, 2 Te 2.99
3 Te 0.5000 0.5000 0.0000  2 Bi 2.99
4 Br 0.0000 0.5000 0.5000  2 Bi 2.97
5 Br 0.5000 0.0000 0.5000  2 Bi 2.97

***

[4]
This record from the Alexandria database describes NaCa2NiN after structural relaxation. The functional is PBE.

Calculated values
ΔE_f (raw): -222 meV/atom
symmetry: P4/mmm, No. 123

a = 5.1503 Å, b = 5.1503 Å, c = 3.7281 Å
α = 90.00°, β = 90.00°, γ = 90.00°
Closest atoms and distances in Å follow each position.
Fractional coordinates of all 5 atoms:
1 Na 0.0000 0.0000 0.0000  8 Ca 3.18
2 Ca 0.0000 0.5000 0.5000  2 N 2.58
3 Ca 0.5000 0.0000 0.5000  2 N 2.58
4 Ni 0.5000 0.5000 0.0000  2 N 1.86
5 N 0.5000 0.5000 0.5000  2 Ni 1.86

***

[5]
This record from the Alexandria database describes NaPm2Mg after structural relaxation. The functional is PBE.

Calculated values
symmetry: P4/mmm, No. 123
ΔH_f (0 K): 0.09 eV/atom

a = 3.8764 Å, b = 3.8764 Å, c = 8.4659 Å
α = 90.00°, β = 90.00°, γ = 90.00°
Closest atoms and distances in Å follow each position.
Fractional coordinates of all 4 atoms:
1 Na 0.0000 0.0000 0.0000  8 Pm 3.64, 4 Na 3.88
2 Pm 0.5000 0.5000 0.2827  4 Mg 3.30, 4 Na 3.64, 1 Pm 3.68
3 Pm 0.5000 0.5000 0.7173  4 Mg 3.30, 4 Na 3.64, 1 Pm 3.68
4 Mg 0.0000 0.0000 0.5000  8 Pm 3.30

***

[6]
This record from the Alexandria database describes BW2Se after structural relaxation. The functional is PBE.

Calculated values
ΔE_f (raw): -21 meV/atom
symmetry: P-3m1, No. 164

a = 3.1633 Å, b = 3.1633 Å, c = 6.5587 Å
α = 90.00°, β = 90.00°, γ = 120.00°
Closest atoms and distances in Å follow each position.
Fractional coordinates of all 4 atoms:
1 B 0.0000 0.0000 0.0000  6 W 2.18
2 W 0.3333 0.6667 0.1801  3 B 2.18
3 W 0.6667 0.3333 0.8199  3 B 2.18
4 Se 0.0000 0.0000 0.5000  6 W 2.78

***

[7]
This record from the Alexandria database describes SrCd3Sb after structural relaxation. The functional is PBE.

Calculated values
ΔE_f (raw): 133 meV/atom
symmetry: Pm-3m, No. 221

a = 5.6545 Å, b = 5.6545 Å, c = 5.6545 Å
α = 90.00°, β = 90.00°, γ = 90.00°
Closest atoms and distances in Å follow each position.
Fractional coordinates of all 5 atoms:
1 Sr 0.0000 0.0000 0.0000  12 Cd 4.00
2 Cd 0.0000 0.5000 0.5000  2 Sb 2.83
3 Cd 0.5000 0.0000 0.5000  2 Sb 2.83
4 Cd 0.5000 0.5000 0.0000  2 Sb 2.83
5 Sb 0.5000 0.5000 0.5000  6 Cd 2.83

***

[8]
This record from the Alexandria database describes ThGeO4 after structural relaxation. The functional is PBE.

Calculated values
ΔE_f (raw): -2791 meV/atom
symmetry: I4_1/amd, No. 141

a = 6.1291 Å, b = 6.1291 Å, c = 6.1291 Å
α = 106.85°, β = 106.85°, γ = 114.85°
Closest atoms and distances in Å follow each position.
Fractional coordinates of all 12 atoms:
1 Th 0.3750 0.6250 0.7500  8 O 2.37-2.50
2 Th 0.6250 0.3750 0.2500  8 O 2.37-2.50
3 Ge 0.1250 0.8750 0.2500  4 O 1.78
4 Ge 0.8750 0.1250 0.7500  4 O 1.78
5 O 0.1283 0.6963 0.4320  1 Ge 1.78
6 O 0.2357 0.3037 0.9320  1 Ge 1.78
7 O 0.3037 0.2357 0.4320  1 Ge 1.78
8 O 0.3037 0.8717 0.0680  1 Ge 1.78
9 O 0.6963 0.1283 0.9320  1 Ge 1.78
10 O 0.6963 0.7643 0.5680  1 Ge 1.78
11 O 0.7643 0.6963 0.0680  1 Ge 1.78
12 O 0.8717 0.3037 0.5680  1 Ge 1.78

***

[9]
This record from the Alexandria database describes ReAgAs2H after structural relaxation. The functional is PBE.

Calculated values
symmetry: P4/mmm, No. 123
E: -23.93 eV per cell

a = 4.5250 Å, b = 4.5250 Å, c = 3.4779 Å
α = 90.00°, β = 90.00°, γ = 90.00°
Closest atoms and distances in Å follow each position.
Fractional coordinates of all 5 atoms:
1 Re 0.0000 0.0000 0.0000  8 As 2.85
2 Ag 0.5000 0.5000 0.0000  2 H 1.74
3 As 0.0000 0.5000 0.5000  2 H 2.26
4 As 0.5000 0.0000 0.5000  2 H 2.26
5 H 0.5000 0.5000 0.5000  2 Ag 1.74

***

[10]
This record from the Alexandria database describes Pm2ZrGe6 after structural relaxation. The functional is PBE.

Calculated values
symmetry: Cm, No. 8
ΔH_f (0 K): -0.16 eV/atom

a = 7.9328 Å, b = 7.9328 Å, c = 3.9623 Å
α = 104.34°, β = 104.34°, γ = 70.31°
Closest atoms and distances in Å follow each position.
Fractional coordinates of all 9 atoms:
1 Pm 0.0000 0.0000 0.0000  6 Ge 2.91-3.10
2 Pm 0.7080 0.7080 0.7085  6 Ge 2.91-3.10
3 Zr 0.3540 0.3540 0.3542  6 Ge 2.97-3.02
4 Ge 0.0239 0.6841 0.3541  2 Ge 2.47
5 Ge 0.3195 0.7498 0.5357  3 Ge 2.47-2.70
6 Ge 0.3885 0.9582 0.1752  3 Ge 2.47-2.70
7 Ge 0.6841 0.0239 0.3541  2 Ge 2.47
8 Ge 0.7498 0.3195 0.5357  3 Ge 2.47-2.70
9 Ge 0.9582 0.3885 0.1752  3 Ge 2.47-2.70

***

[11]
This record from the Alexandria database describes SrZn2Cr after structural relaxation. The functional is PBE.

Calculated values
symmetry: C2/m, No. 12
ΔH_f (0 K): 0.09 eV/atom

a = 4.4884 Å, b = 4.4884 Å, c = 6.0751 Å
α = 111.96°, β = 111.96°, γ = 60.09°
Closest atoms and distances in Å follow each position.
Fractional coordinates of all 4 atoms:
1 Sr 0.0000 0.0000 0.0000  8 Zn 3.17-3.48
2 Zn 0.1930 0.1930 0.5787  3 Cr 2.63, 3 Zn 2.73-2.74
3 Zn 0.8070 0.8070 0.4213  3 Cr 2.63, 3 Zn 2.73-2.74
4 Cr 0.5000 0.5000 0.5000  6 Zn 2.63

***

[12]
This record from the Alexandria database describes PmPr2Al after structural relaxation. The functional is PBE.

Calculated values
symmetry: P4/mmm, No. 123
ΔH_f (0 K): -0.16 eV/atom

a = 4.9088 Å, b = 4.9088 Å, c = 4.9179 Å
α = 90.00°, β = 90.00°, γ = 90.00°
Closest atoms and distances in Å follow each position.
Fractional coordinates of all 4 atoms:
1 Pm 0.0000 0.0000 0.0000  4 Al 3.47, 8 Pr 3.47
2 Pr 0.0000 0.5000 0.5000  4 Pr 3.47, 4 Pm 3.47, 4 Al 3.47
3 Pr 0.5000 0.0000 0.5000  4 Pr 3.47, 4 Pm 3.47, 4 Al 3.47
4 Al 0.5000 0.5000 0.0000  4 Pm 3.47, 8 Pr 3.47

***

[13]
This record from the Alexandria database describes Pa4Co12B3Ru after structural relaxation. The functional is PBE.

Calculated values
symmetry: Im-3m, No. 229
ΔH_f (0 K): -0.16 eV/atom

a = 7.0539 Å, b = 7.0539 Å, c = 7.0539 Å
α = 109.47°, β = 109.47°, γ = 109.47°
Closest atoms and distances in Å follow each position.
Fractional coordinates of all 20 atoms:
1 Pa 0.0000 0.0000 0.5000  12 Co 2.88-2.89
2 Pa 0.0000 0.5000 0.0000  12 Co 2.88-2.89
3 Pa 0.5000 0.0000 0.0000  12 Co 2.88-2.89
4 Pa 0.5000 0.5000 0.5000  12 Co 2.88-2.89
5 Co 0.0000 0.2782 0.2782  1 B 1.81
6 Co 0.0000 0.7218 0.7218  1 B 1.81
7 Co 0.2500 0.5000 0.7500  2 B 2.04
8 Co 0.2500 0.7500 0.5000  2 B 2.04
9 Co 0.2782 0.0000 0.2782  1 B 1.81
10 Co 0.2782 0.2782 0.0000  1 B 1.81
11 Co 0.5000 0.2500 0.7500  2 B 2.04
12 Co 0.5000 0.7500 0.2500  2 B 2.04
13 Co 0.7218 0.0000 0.7218  1 B 1.81
14 Co 0.7218 0.7218 0.0000  1 B 1.81
15 Co 0.7500 0.2500 0.5000  2 B 2.04
16 Co 0.7500 0.5000 0.2500  2 B 2.04
17 B 0.0000 0.5000 0.5000  2 Co 1.81
18 B 0.5000 0.0000 0.5000  2 Co 1.81
19 B 0.5000 0.5000 0.0000  2 Co 1.81
20 Ru 0.0000 0.0000 0.0000  6 Co 2.27